No. 1
Compound: Tl2CuTe
Source: Alexandria via LeMat-Bulk
Functional: GGA-PBE
Structure: optimized geometry

Structure (POSCAR):
```
Tl2CuTe
1.0
5.1664 0.0000 0.0000
0.0000 4.5772 0.0000
-1.3545 0.0000 5.2987
Tl Cu Te
2 1 1
Direct
0.2171 0.0000 0.3077
0.7829 0.0000 0.6923
0.0000 0.5000 0.0000
0.5000 0.5000 0.0000
```

As for the symmetry: P2/m. The value obtained for the calculated volume is 31.33 Å³/atom. The crystal system is monoclinic. The relative energy among the computed polymorphs is 92.9 meV/atom. The density of states at the Fermi level comes out at 0.21 states/eV per atom. Its formation energy (no corrections) is 49 meV per atom. For the theoretical density, the calculation gives 8.0 Mg/m³. The calculation puts the total magnetization at 0.000 Bohr magnetons per cell.

=====

No. 2
Compound: TlCuTe
Source: Alexandria via LeMat-Bulk
Functional: GGA-PBE
Structure: optimized geometry

Structure (POSCAR):
```
TlCuTe
1.0
4.4306 0.0000 0.0000
-2.2153 3.8370 0.0000
0.0000 0.0000 5.0587
Tl Cu Te
1 1 1
Direct
0.0000 0.0000 0.0000
0.3333 0.6667 0.4974
0.6667 0.3333 0.4988
```

As for the symmetry: P3m1. The value obtained for the calculated volume is 28.67 Å³/atom. The crystal system is trigonal. The density of states at the Fermi level comes out at 0.09 states/eV per atom. Its formation energy (no corrections) is -163 meV per atom. For the theoretical density, the calculation gives 7.6 Mg/m³. The calculation puts the total magnetization at 0.000 Bohr magnetons per cell.